VASP calculation (PBE) on crystalline Zr2TiPb at its relaxed geometry.

Cell lengths 7.9544, 7.9544, 5.8583 Å; angles 90.00, 90.00, 90.00 degrees
With the nearest neighbours (Å) after each atom.
Space group I-42d (No. 122)
Unique sites:
Zr1 0.2411 0.2500 0.1250 [8 per cell]  2 Ti 2.86, 2 Zr 2.93, 2 Pb 2.96
Ti1 0.0000 0.0000 0.0000 [4 per cell]  4 Zr 2.86, 2 Pb 2.93
Pb1 0.0000 0.0000 0.5000 [4 per cell]  2 Ti 2.93, 4 Zr 2.96

Calculated values
Total DFT energy (no corrections) (eV/atom): -6.8035